Material: LaWClO4
Method: DFT, PBE with a Hubbard U
State: relaxed

## Properties
**E_tot**: -102.55 eV for the cell shown
**D(E_F)**: 0.000 states/eV/atom

```
data_LaWClO4
_space_group_name_H-M_alt 'P 1'
_space_group_IT_number 1
_cell_length_a 6.608
_cell_length_b 6.608
_cell_length_c 7.210
_cell_angle_alpha 103.78
_cell_angle_beta 103.78
_cell_angle_gamma 71.16
loop_
_space_group_symop_operation_xyz
'x,y,z'
loop_
_atom_site_label
_atom_site_type_symbol
_atom_site_fract_x
_atom_site_fract_y
_atom_site_fract_z
La1 La 0.223 0.223 0.123
La2 La 0.777 0.777 0.877
W1 W 0.363 0.363 0.736
W2 W 0.637 0.637 0.264
Cl1 Cl 0.013 0.013 0.768
Cl2 Cl 0.987 0.987 0.232
O1 O 0.119 0.489 0.846
O2 O 0.296 0.296 0.476
O3 O 0.461 0.461 0.200
O4 O 0.489 0.119 0.846
O5 O 0.511 0.881 0.154
O6 O 0.539 0.539 0.800
O7 O 0.704 0.704 0.524
O8 O 0.881 0.511 0.154
```